# Np3Ti5O12 PBE-GGA relaxed
# Density: 7.37 g cm⁻³
# Electronic total energy: -9.679 eV/atom
# Total moment: 0.847 μB per atom
# Calculated volume: 12.864 Å³ per atom
data_Np3Ti5O12
_space_group_name_H-M_alt 'P 1'
_space_group_IT_number 1
_space_group_name_Hall 'P 1'
_cell_length_a 11.0163
_cell_length_b 11.0163
_cell_length_c 11.0163
_cell_angle_alpha 109.47
_cell_angle_beta 109.47
_cell_angle_gamma 109.47
loop_
_atom_site_label
_atom_site_type_symbol
_atom_site_fract_x
_atom_site_fract_y
_atom_site_fract_z
O1 O 0.0260 0.4066 0.8194
Ti1 Ti 0.2500 0.3750 0.6250
O2 O 0.0934 0.9128 0.1195
Ti2 Ti 0.1250 0.7500 0.3750
O3 O 0.1806 0.0872 0.7067
O4 O 0.9066 0.0872 0.8805
O5 O 0.9740 0.5934 0.1806
Np1 Np 0.2500 0.1250 0.3750
Ti3 Ti 0.0000 0.0000 0.5000
O6 O 0.8194 0.9128 0.2933
Np2 Np 0.1250 0.2500 0.8750
O7 O 0.1195 0.4128 0.0934
O8 O 0.7933 0.3194 0.9128
Np3 Np 0.2500 0.6250 0.8750
Np4 Np 0.8750 0.1250 0.2500
O9 O 0.8805 0.5872 0.9066
O10 O 0.6806 0.2067 0.5872
O11 O 0.6806 0.4740 0.5934
O12 O 0.5934 0.9740 0.6806
Np5 Np 0.1250 0.8750 0.7500
O13 O 0.5872 0.7067 0.6806
Np6 Np 0.3750 0.6250 0.2500
O14 O 0.2933 0.4128 0.8194
Ti4 Ti 0.7500 0.1250 0.8750
Np7 Np 0.3750 0.7500 0.6250
Np8 Np 0.6250 0.2500 0.3750
O15 O 0.5934 0.6195 0.4128
Ti5 Ti 0.0000 0.0000 0.0000
O16 O 0.4128 0.1195 0.5934
O17 O 0.7933 0.4740 0.3805
O18 O 0.1806 0.0934 0.9740
Ti6 Ti 0.5000 0.0000 0.0000
Ti7 Ti 0.6250 0.7500 0.8750
Ti8 Ti 0.6250 0.8750 0.2500
O19 O 0.7067 0.1195 0.0260
Ti9 Ti 0.8750 0.2500 0.6250
O20 O 0.3805 0.9740 0.7933
Np9 Np 0.7500 0.3750 0.1250
O21 O 0.4128 0.2933 0.3194
Ti10 Ti 0.3750 0.2500 0.1250
O22 O 0.0934 0.1806 0.4740
O23 O 0.5260 0.3194 0.9066
O24 O 0.2067 0.5260 0.6195
Ti11 Ti 0.0000 0.5000 0.0000
O25 O 0.0872 0.9066 0.3805
Ti12 Ti 0.1250 0.3750 0.2500
O26 O 0.3194 0.7933 0.4128
O27 O 0.0260 0.6195 0.7067
Ti13 Ti 0.3750 0.1250 0.7500
Np10 Np 0.6250 0.3750 0.7500
O28 O 0.7067 0.5872 0.1806
Ti14 Ti 0.7500 0.6250 0.3750
O29 O 0.3194 0.5260 0.4066
Ti15 Ti 0.5000 0.0000 0.5000
O30 O 0.4066 0.3805 0.5872
O31 O 0.8194 0.9066 0.0260
O32 O 0.9128 0.8194 0.7933
O33 O 0.0872 0.1806 0.2067
O34 O 0.2067 0.6806 0.0872
O35 O 0.6195 0.5934 0.9128
O36 O 0.8805 0.2933 0.4740
Np11 Np 0.8750 0.7500 0.1250
O37 O 0.6195 0.0260 0.2067
O38 O 0.5872 0.8805 0.4066
Ti16 Ti 0.8750 0.6250 0.7500
O39 O 0.4740 0.6806 0.0934
Ti17 Ti 0.5000 0.5000 0.5000
O40 O 0.2933 0.8805 0.9740
O41 O 0.9740 0.3805 0.2933
Ti18 Ti 0.2500 0.8750 0.1250
O42 O 0.4066 0.0260 0.3194
O43 O 0.1195 0.7067 0.5260
Ti19 Ti 0.5000 0.5000 0.0000
O44 O 0.9066 0.8194 0.5260
O45 O 0.4740 0.7933 0.8805
Np12 Np 0.7500 0.8750 0.6250
Ti20 Ti 0.0000 0.5000 0.5000
O46 O 0.9128 0.0934 0.6195
O47 O 0.5260 0.2067 0.1195
O48 O 0.3805 0.4066 0.0872